ScSiS2N (PBE, optimized geometry); crystal system = tetragonal; energy relative to the elements, uncorrected = -0.511 eV/atom; E_tot = -30.9 eV per cell
1.0
4.711 0.000 0.000
0.000 4.711 0.000
0.000 0.000 3.384
Sc Si S N
1 1 2 1
direct
0.000 0.000 0.000
0.500 0.500 0.500
0.000 0.500 0.500
0.500 0.000 0.500
0.500 0.500 0.000

=====

LaTaNF2 (PBE, optimized geometry); crystal system = tetragonal; energy relative to the elements, uncorrected = -0.707 eV/atom; E_tot = -32.4 eV per cell
1.0
4.410 0.000 0.000
0.000 4.410 0.000
0.000 0.000 5.236
La Ta N F
1 1 1 2
direct
0.000 0.000 0.000
0.500 0.500 0.500
0.000 0.000 0.500
0.000 0.500 0.000
0.500 0.000 0.000